[1]
This record from Alexandria via LeMat-Bulk describes crystalline Ac4TeOsS2 at its relaxed geometry. The functional is PBE-GGA.

Calculated values
- DOS at the Fermi energy (states/eV per cell) = 4.8
- crystal system = monoclinic
- uncorrected formation energy (eV per formula unit) = -10.14
- space-group type = No. 10

Cell lengths 7.6492, 4.3886, 7.9700 Å; angles 90.00, 108.07, 90.00 degrees
Positions (direct):
Ac1 0.2447 0.0000 0.2268
Ac2 0.2495 0.5000 0.7834
Ac3 0.7505 0.5000 0.2166
Ac4 0.7553 0.0000 0.7732
Te1 0.0000 0.0000 0.5000
Os1 0.0000 0.5000 0.0000
S1 0.5000 0.0000 0.0000
S2 0.5000 0.5000 0.5000

---

[2]
This record from Alexandria via LeMat-Bulk describes crystalline ZnSbPCl2 at its relaxed geometry. The functional is PBE-GGA.

Calculated values
- DOS at the Fermi energy (states/eV per cell) = 2.3
- crystal system = tetragonal
- uncorrected formation energy (eV per formula unit) = 0.41
- distance to the lowest polymorph of the same formula (kcal/mol of atoms) = 0.000
- space-group type = No. 123

Cell lengths 4.6509, 4.6509, 5.1387 Å; angles 90.00, 90.00, 90.00 degrees
Positions (direct):
Zn1 0.0000 0.0000 0.0000
Sb1 0.5000 0.5000 0.5000
P1 0.0000 0.0000 0.5000
Cl1 0.0000 0.5000 0.0000
Cl2 0.5000 0.0000 0.0000

---

[3]
This record from Alexandria via LeMat-Bulk describes crystalline Zr2GaNi at its relaxed geometry. The functional is PBE-GGA.

Calculated values
- DOS at the Fermi energy (states/eV per cell) = 4.1
- crystal system = trigonal
- space-group type = No. 160
- formation energy from the elements (kcal/mol of atoms) = -6.41

Cell lengths 5.7180, 5.7180, 5.7180 Å; angles 42.19, 42.19, 42.19 degrees
Positions (direct):
Zr1 0.0000 0.0000 0.0000
Zr2 0.1989 0.1989 0.1989
Ga1 0.7757 0.7757 0.7757
Ni1 0.4087 0.4087 0.4087

---

[4]
This record from Alexandria via LeMat-Bulk describes crystalline BaLi3Ca at its relaxed geometry. The functional is PBE-GGA.

Calculated values
- DOS at the Fermi energy (states/eV per cell) = 16.7
- crystal system = orthorhombic
- distance to the lowest polymorph of the same formula (kcal/mol of atoms) = 0.000
- space-group type = No. 62
- formation energy from the elements (kcal/mol of atoms) = 2.43

Cell lengths 6.6037, 8.3737, 12.4896 Å; angles 90.00, 90.00, 90.00 degrees
Positions (direct):
Ba1 0.0000 0.0000 0.0000
Ba2 0.0000 0.5000 0.0000
Ba3 0.5000 0.0000 0.5000
Ba4 0.5000 0.5000 0.5000
Li1 0.0647 0.0683 0.2833
Li2 0.0647 0.4317 0.2833
Li3 0.1983 0.2500 0.7591
Li4 0.3017 0.7500 0.2591
Li5 0.4353 0.5683 0.7833
Li6 0.4353 0.9317 0.7833
Li7 0.5647 0.0683 0.2167
Li8 0.5647 0.4317 0.2167
Li9 0.6983 0.2500 0.7409
Li10 0.8017 0.7500 0.2409
Li11 0.9353 0.5683 0.7167
Li12 0.9353 0.9317 0.7167
Ca1 0.0046 0.7500 0.4782
Ca2 0.4954 0.2500 0.9782
Ca3 0.5046 0.7500 0.0218
Ca4 0.9954 0.2500 0.5218

---

[5]
This record from Alexandria via LeMat-Bulk describes crystalline PmPaRu at its relaxed geometry. The functional is PBE-GGA.

Calculated values
- DOS at the Fermi energy (states/eV per cell) = 5.1
- crystal system = hexagonal
- distance to the lowest polymorph of the same formula (kcal/mol of atoms) = 4.637
- space-group type = No. 187
- formation energy from the elements (kcal/mol of atoms) = -1.95

Cell lengths 4.3629, 4.3629, 4.9206 Å; angles 90.00, 90.00, 120.00 degrees
Positions (direct):
Pm1 0.0000 0.0000 0.0000
Pa1 0.6667 0.3333 0.5000
Ru1 0.3333 0.6667 0.5000

---

[6]
This record from Alexandria via LeMat-Bulk describes crystalline HoTm4Zn2 at its relaxed geometry. The functional is PBE-GGA.

Calculated values
- DOS at the Fermi energy (states/eV per cell) = 8.4
- crystal system = trigonal
- space-group type = No. 166
- formation energy from the elements (kcal/mol of atoms) = 3.07

Cell lengths 10.1348, 10.1348, 10.1348 Å; angles 27.85, 27.85, 27.85 degrees
Positions (direct):
Ho1 0.0000 0.0000 0.0000
Tm1 0.2016 0.2016 0.2016
Tm2 0.3990 0.3990 0.3990
Tm3 0.6010 0.6010 0.6010
Tm4 0.7984 0.7984 0.7984
Zn1 0.1001 0.1001 0.1001
Zn2 0.8999 0.8999 0.8999

---

[7]
This record from Alexandria via LeMat-Bulk describes crystalline KNa3O at its relaxed geometry. The functional is PBE-GGA.

Calculated values
- DOS at the Fermi energy (states/eV per cell) = 1.2
- crystal system = cubic
- uncorrected formation energy (eV per formula unit) = -2.32
- distance to the lowest polymorph of the same formula (kcal/mol of atoms) = 3.610
- space-group type = No. 221

Cell lengths 5.0864, 5.0864, 5.0864 Å; angles 90.00, 90.00, 90.00 degrees
Positions (direct):
K1 0.0000 0.0000 0.0000
Na1 0.0000 0.5000 0.5000
Na2 0.5000 0.0000 0.5000
Na3 0.5000 0.5000 0.0000
O1 0.5000 0.5000 0.5000

---

[8]
This record from Alexandria via LeMat-Bulk describes crystalline BaCaHf2 at its relaxed geometry. The functional is PBE-GGA.

Calculated values
- DOS at the Fermi energy (states/eV per cell) = 7.7
- crystal system = cubic
- distance to the lowest polymorph of the same formula (kcal/mol of atoms) = 0.000
- space-group type = No. 225
- formation energy from the elements (kcal/mol of atoms) = 22.47

Cell lengths 5.5682, 5.5682, 5.5682 Å; angles 60.00, 60.00, 60.00 degrees
Positions (direct):
Ba1 0.0000 0.0000 0.0000
Ca1 0.5000 0.5000 0.5000
Hf1 0.2500 0.2500 0.2500
Hf2 0.7500 0.7500 0.7500

---

[9]
This record from Alexandria via LeMat-Bulk describes crystalline RbAcP2 at its relaxed geometry. The functional is PBE-GGA.

Calculated values
- DOS at the Fermi energy (states/eV per cell) = 5.3
- crystal system = cubic
- distance to the lowest polymorph of the same formula (kcal/mol of atoms) = 2.740
- space-group type = No. 225
- formation energy from the elements (kcal/mol of atoms) = -7.31

Cell lengths 5.4170, 5.4170, 5.4170 Å; angles 60.00, 60.00, 60.00 degrees
Positions (direct):
Rb1 0.0000 0.0000 0.0000
Ac1 0.5000 0.5000 0.5000
P1 0.2500 0.2500 0.2500
P2 0.7500 0.7500 0.7500

---

[10]
This record from Alexandria via LeMat-Bulk describes crystalline CaHo2Lu at its relaxed geometry. The functional is PBE-GGA.

Calculated values
- DOS at the Fermi energy (states/eV per cell) = 5.6
- crystal system = tetragonal
- distance to the lowest polymorph of the same formula (kcal/mol of atoms) = 0.000
- space-group type = No. 123
- formation energy from the elements (kcal/mol of atoms) = 2.50

Cell lengths 3.9145, 3.9145, 8.7952 Å; angles 90.00, 90.00, 90.00 degrees
Positions (direct):
Ca1 0.0000 0.0000 0.0000
Ho1 0.5000 0.5000 0.2868
Ho2 0.5000 0.5000 0.7132
Lu1 0.0000 0.0000 0.5000

---

[11]
This record from Alexandria via LeMat-Bulk describes crystalline Ag2As2Au at its relaxed geometry. The functional is PBE-GGA.

Calculated values
- DOS at the Fermi energy (states/eV per cell) = 3.2
- crystal system = tetragonal
- distance to the lowest polymorph of the same formula (kcal/mol of atoms) = 0.000
- space-group type = No. 127
- formation energy from the elements (kcal/mol of atoms) = 4.03

Cell lengths 6.8210, 6.8210, 4.3109 Å; angles 90.00, 90.00, 90.00 degrees
Positions (direct):
Ag1 0.1738 0.3262 0.0000
Ag2 0.3262 0.8262 0.0000
Ag3 0.6738 0.1738 0.0000
Ag4 0.8262 0.6738 0.0000
As1 0.1367 0.6367 0.5000
As2 0.3633 0.1367 0.5000
As3 0.6367 0.8633 0.5000
As4 0.8633 0.3633 0.5000
Au1 0.0000 0.0000 0.5000
Au2 0.5000 0.5000 0.5000

---

[12]
This record from Alexandria via LeMat-Bulk describes crystalline Li4Ag3Sn2 at its relaxed geometry. The functional is PBE-GGA.

Calculated values
- DOS at the Fermi energy (states/eV per cell) = 2.3
- crystal system = monoclinic
- space-group type = No. 12
- formation energy from the elements (kcal/mol of atoms) = -6.38

Cell lengths 5.2630, 5.2630, 8.6417 Å; angles 114.00, 114.00, 49.64 degrees
Positions (direct):
Li1 0.0163 0.0163 0.3397
Li2 0.3406 0.3406 0.1271
Li3 0.6594 0.6594 0.8729
Li4 0.9837 0.9837 0.6603
Ag1 0.0000 0.0000 0.0000
Ag2 0.3412 0.3412 0.4610
Ag3 0.6588 0.6588 0.5390
Sn1 0.3180 0.3180 0.7803
Sn2 0.6820 0.6820 0.2197

---

[13]
This record from Alexandria via LeMat-Bulk describes crystalline YZnH2Rh at its relaxed geometry. The functional is PBE-GGA.

Calculated values
- DOS at the Fermi energy (states/eV per cell) = 2.2
- crystal system = tetragonal
- DFT total energy (eV/cell) = -20.64
- space-group type = No. 123

Cell lengths 3.9222, 3.9222, 5.1699 Å; angles 90.00, 90.00, 90.00 degrees
Positions (direct):
Y1 0.0000 0.0000 0.0000
Zn1 0.5000 0.5000 0.0000
H1 0.0000 0.5000 0.5000
H2 0.5000 0.0000 0.5000
Rh1 0.0000 0.0000 0.5000